(1)
Computed, not measured: MgC2 after structural relaxation at the PBE level of DFT. Values from VASP.

Geometry as Quantum ESPRESSO input:
```
&SYSTEM
  ibrav = 0, nat = 3, ntyp = 2
/
ATOMIC_SPECIES
C 12.01 C.upf
Mg 24.30 Mg.upf
CELL_PARAMETERS angstrom
-0.5919 1.1372 2.2268
-0.7580 1.0491 -2.2197
-6.7552 -4.1717 0.3350
ATOMIC_POSITIONS crystal
C 0.3333 0.6667 0.0000
C 0.6667 0.3333 0.0000
Mg 0.0000 0.0000 0.5000
```

Computed properties:
The total energy comes out at -6.1534 eV per atom.

---

(2)
Computed, not measured: MgC2 after structural relaxation at the PBE level of DFT. Values from VASP.

Geometry as Quantum ESPRESSO input:
```
&SYSTEM
  ibrav = 0, nat = 6, ntyp = 2
/
ATOMIC_SPECIES
C 12.01 C.upf
Mg 24.30 Mg.upf
CELL_PARAMETERS angstrom
1.2872 -4.3967 0.0000
1.2872 4.3967 0.0000
0.0000 0.0000 5.3654
ATOMIC_POSITIONS crystal
C 0.9298 0.0702 0.2500
C 0.0702 0.9298 0.7500
C 0.3537 0.6463 0.2500
C 0.6463 0.3537 0.7500
Mg 0.6410 0.3590 0.2500
Mg 0.3590 0.6410 0.7500
```

Computed properties:
The total energy comes out at -6.2014 eV per atom.

---

(3)
Computed, not measured: MgC after structural relaxation at the PBE level of DFT. Values from VASP.

Geometry as Quantum ESPRESSO input:
```
&SYSTEM
  ibrav = 0, nat = 4, ntyp = 2
/
ATOMIC_SPECIES
C 12.01 C.upf
Mg 24.30 Mg.upf
CELL_PARAMETERS angstrom
5.0406 0.0007 0.0000
2.9800 4.0653 0.0000
-4.0103 -2.0330 2.2785
ATOMIC_POSITIONS crystal
C 0.2500 0.7500 0.5000
C 0.0000 0.0000 0.0000
Mg 0.7500 0.2500 0.5000
Mg 0.5000 0.5000 0.0000
```

Computed properties:
The total energy comes out at -4.0071 eV per atom.

---

(4)
Computed, not measured: MgC2 after structural relaxation at the PBE level of DFT. Values from VASP.

Geometry as Quantum ESPRESSO input:
```
&SYSTEM
  ibrav = 0, nat = 9, ntyp = 2
/
ATOMIC_SPECIES
C 12.01 C.upf
Mg 24.30 Mg.upf
CELL_PARAMETERS angstrom
3.3449 -5.7936 0.0000
3.3449 5.7936 0.0000
0.0000 0.0000 2.5724
ATOMIC_POSITIONS crystal
C 0.6178 0.0000 0.5000
C 0.0000 0.6178 0.5000
C 0.7160 0.0000 0.0000
C 0.3822 0.3822 0.5000
C 0.2840 0.2840 0.0000
C 0.0000 0.7160 0.0000
Mg 0.3333 0.6667 0.0000
Mg 0.6667 0.3333 0.0000
Mg 0.0000 0.0000 0.5000
```

Computed properties:
The total energy comes out at -6.0750 eV per atom.

---

(5)
Computed, not measured: MgC after structural relaxation at the PBE level of DFT. Values from VASP.

Geometry as Quantum ESPRESSO input:
```
&SYSTEM
  ibrav = 0, nat = 2, ntyp = 2
/
ATOMIC_SPECIES
C 12.01 C.upf
Mg 24.30 Mg.upf
CELL_PARAMETERS angstrom
-3.0426 -0.8947 1.7336
0.1588 -1.3559 3.3466
-1.1292 1.9777 2.8066
ATOMIC_POSITIONS crystal
C 0.0000 0.0000 0.0000
Mg 0.7500 0.7500 0.7500
```

Computed properties:
The total energy comes out at -3.7206 eV per atom.

---

(6)
Computed, not measured: Mg4C3 after structural relaxation at the PBE level of DFT. Values from VASP.

Geometry as Quantum ESPRESSO input:
```
&SYSTEM
  ibrav = 0, nat = 7, ntyp = 2
/
ATOMIC_SPECIES
Mg 24.30 Mg.upf
C 12.01 C.upf
CELL_PARAMETERS angstrom
0.4069 4.4285 0.7513
-2.4340 -1.4799 -3.4968
-4.1801 -0.1181 2.9596
ATOMIC_POSITIONS crystal
Mg 0.6667 0.3333 0.5000
Mg 0.0000 0.0000 0.2355
Mg 0.0000 0.0000 0.7645
Mg 0.3333 0.6667 0.5000
C 0.5000 0.0000 0.0000
C 0.0000 0.5000 0.0000
C 0.5000 0.5000 0.0000
```

Computed properties:
The total energy comes out at -3.2534 eV per atom.

---

(7)
Computed, not measured: MgC2 after structural relaxation at the PBE level of DFT. Values from VASP.

Geometry as Quantum ESPRESSO input:
```
&SYSTEM
  ibrav = 0, nat = 12, ntyp = 2
/
ATOMIC_SPECIES
Mg 24.30 Mg.upf
C 12.01 C.upf
CELL_PARAMETERS angstrom
-7.4242 8.9489 -9.3169
-6.5773 6.2982 -11.7931
5.4159 -8.5122 10.9642
ATOMIC_POSITIONS crystal
Mg 0.0660 0.0660 0.0000
Mg 0.1840 0.6840 0.5000
Mg 0.3160 0.8160 0.5000
Mg 0.9340 0.9340 0.0000
C 0.7498 0.7498 0.0000
C 0.2502 0.2502 0.0000
C 0.9998 0.4998 0.5000
C 0.6127 0.6127 0.0000
C 0.3873 0.3873 0.0000
C 0.8627 0.3627 0.5000
C 0.5002 0.0002 0.5000
C 0.6373 0.1373 0.5000
```

Computed properties:
The total energy comes out at -5.5033 eV per atom.

---

(8)
Computed, not measured: MgC after structural relaxation at the PBE level of DFT. Values from VASP.

Geometry as Quantum ESPRESSO input:
```
&SYSTEM
  ibrav = 0, nat = 16, ntyp = 2
/
ATOMIC_SPECIES
Mg 24.30 Mg.upf
C 12.01 C.upf
CELL_PARAMETERS angstrom
9.0786 0.0000 0.0000
0.0000 9.0786 0.0000
0.0000 0.0000 2.6908
ATOMIC_POSITIONS crystal
Mg 0.7436 0.4754 0.0000
Mg 0.4754 0.2564 0.0000
Mg 0.2436 0.9754 0.5000
Mg 0.7564 0.0246 0.5000
Mg 0.0246 0.2436 0.5000
Mg 0.2564 0.5246 0.0000
Mg 0.9754 0.7564 0.5000
Mg 0.5246 0.7436 0.0000
C 0.2799 0.7789 0.0000
C 0.2201 0.7211 0.5000
C 0.7799 0.2789 0.5000
C 0.7211 0.7799 0.5000
C 0.2789 0.2201 0.5000
C 0.7789 0.7201 0.0000
C 0.7201 0.2211 0.0000
C 0.2211 0.2799 0.0000
```

Computed properties:
The total energy comes out at -4.7840 eV per atom.

---

(9)
Computed, not measured: Mg2C3 after structural relaxation at the PBE level of DFT. Values from VASP.

Geometry as Quantum ESPRESSO input:
```
&SYSTEM
  ibrav = 0, nat = 10, ntyp = 2
/
ATOMIC_SPECIES
C 12.01 C.upf
Mg 24.30 Mg.upf
CELL_PARAMETERS angstrom
0.0000 5.0601 7.0238
1.7799 0.0000 7.0238
1.7799 5.0601 0.0000
ATOMIC_POSITIONS crystal
C 0.0498 0.9502 0.9502
C 0.1452 0.2630 0.1247
C 0.9870 0.1048 0.7828
C 0.2998 0.2002 0.2002
C 0.1253 0.7828 0.1048
C 0.4672 0.1247 0.2630
Mg 0.4737 0.8643 0.5479
Mg 0.3857 0.7763 0.1358
Mg 0.7021 0.1358 0.7763
Mg 0.1142 0.5479 0.8643
```

Computed properties:
The total energy comes out at -5.8944 eV per atom.

---

(10)
Computed, not measured: MgC2 after structural relaxation at the PBE level of DFT. Values from VASP.

Geometry as Quantum ESPRESSO input:
```
&SYSTEM
  ibrav = 0, nat = 6, ntyp = 2
/
ATOMIC_SPECIES
Mg 24.30 Mg.upf
C 12.01 C.upf
CELL_PARAMETERS angstrom
0.0000 3.0095 3.0095
3.0095 0.0000 3.0095
3.0095 3.0095 0.0000
ATOMIC_POSITIONS crystal
Mg 0.7500 0.7500 0.7500
Mg 0.5000 0.5000 0.5000
C 0.1250 0.6250 0.1250
C 0.1250 0.1250 0.6250
C 0.6250 0.1250 0.1250
C 0.1250 0.1250 0.1250
```

Computed properties:
The total energy comes out at -4.4054 eV per atom.

---

(11)
Computed, not measured: MgC2 after structural relaxation at the PBE level of DFT. Values from VASP.

Geometry as Quantum ESPRESSO input:
```
&SYSTEM
  ibrav = 0, nat = 3, ntyp = 2
/
ATOMIC_SPECIES
Mg 24.30 Mg.upf
C 12.01 C.upf
CELL_PARAMETERS angstrom
-0.2174 2.6087 2.0733
-1.1764 -2.9811 0.9383
3.7626 -0.9747 1.6209
ATOMIC_POSITIONS crystal
Mg 0.3333 0.6667 0.5000
C 0.0000 0.0000 0.8522
C 0.0000 0.0000 0.1478
```

Computed properties:
The total energy comes out at -5.8165 eV per atom.

---

(12)
Computed, not measured: Mg5C7 after structural relaxation at the PBE level of DFT. Values from VASP.

Geometry as Quantum ESPRESSO input:
```
&SYSTEM
  ibrav = 0, nat = 12, ntyp = 2
/
ATOMIC_SPECIES
Mg 24.30 Mg.upf
C 12.01 C.upf
CELL_PARAMETERS angstrom
-1.0314 5.2207 -1.8934
-3.1253 -3.3032 3.3505
4.4176 0.9924 3.3771
ATOMIC_POSITIONS crystal
Mg 0.6667 0.6667 0.4009
Mg 0.2657 0.2657 0.5991
Mg 0.8820 0.8820 0.0000
Mg 0.6667 0.2657 0.0000
Mg 0.2657 0.6667 0.0000
C 0.5153 0.0153 0.5000
C 0.7734 0.4189 0.6455
C 0.3291 0.3291 0.0000
C 0.1279 0.7734 0.3545
C 0.4189 0.7734 0.6455
C 0.7734 0.1279 0.3545
C 0.0153 0.5153 0.5000
```

Computed properties:
The total energy comes out at -5.3370 eV per atom.

---

(13)
Computed, not measured: MgC after structural relaxation at the PBE level of DFT. Values from VASP.

Geometry as Quantum ESPRESSO input:
```
&SYSTEM
  ibrav = 0, nat = 6, ntyp = 2
/
ATOMIC_SPECIES
Mg 24.30 Mg.upf
C 12.01 C.upf
CELL_PARAMETERS angstrom
2.3801 -4.1225 0.0000
2.3801 4.1225 0.0000
0.0000 0.0000 3.6440
ATOMIC_POSITIONS crystal
Mg 0.6667 0.3333 0.5000
Mg 0.0000 0.0000 0.0000
Mg 0.3333 0.6667 0.5000
C 0.5000 0.5000 0.0000
C 0.5000 0.0000 0.0000
C 0.0000 0.5000 0.0000
```

Computed properties:
The total energy comes out at -4.2566 eV per atom.

---

(14)
Computed, not measured: MgC2 after structural relaxation at the PBE level of DFT. Values from VASP.

Geometry as Quantum ESPRESSO input:
```
&SYSTEM
  ibrav = 0, nat = 6, ntyp = 2
/
ATOMIC_SPECIES
C 12.01 C.upf
Mg 24.30 Mg.upf
CELL_PARAMETERS angstrom
3.2476 0.0000 0.0000
0.0000 3.2476 0.0000
0.0000 0.0000 6.1775
ATOMIC_POSITIONS crystal
C 0.0000 0.0000 0.0000
C 0.5000 0.5000 0.0000
C 0.5000 0.0000 0.0685
C 0.0000 0.5000 0.9315
Mg 0.5000 0.0000 0.6851
Mg 0.0000 0.5000 0.3149
```

Computed properties:
The total energy comes out at -5.1116 eV per atom.

---

(15)
Computed, not measured: MgC after structural relaxation at the PBE level of DFT. Values from VASP.

Geometry as Quantum ESPRESSO input:
```
&SYSTEM
  ibrav = 0, nat = 2, ntyp = 2
/
ATOMIC_SPECIES
C 12.01 C.upf
Mg 24.30 Mg.upf
CELL_PARAMETERS angstrom
3.6426 0.0079 0.0051
2.4961 2.6530 0.0051
2.4961 1.0819 2.4224
ATOMIC_POSITIONS crystal
C 0.0000 0.0000 0.0000
Mg 0.5000 0.5000 0.5000
```

Computed properties:
The total energy comes out at -4.1567 eV per atom.

---

(16)
Computed, not measured: MgC after structural relaxation at the PBE level of DFT. Values from VASP.

Geometry as Quantum ESPRESSO input:
```
&SYSTEM
  ibrav = 0, nat = 12, ntyp = 2
/
ATOMIC_SPECIES
Mg 24.30 Mg.upf
C 12.01 C.upf
CELL_PARAMETERS angstrom
6.2031 0.0000 0.0000
0.0000 6.2031 0.0000
0.0000 0.0000 6.2031
ATOMIC_POSITIONS crystal
Mg 0.2500 0.0000 0.5000
Mg 0.7500 0.0000 0.5000
Mg 0.0000 0.5000 0.7500
Mg 0.5000 0.2500 0.0000
Mg 0.5000 0.7500 0.0000
Mg 0.0000 0.5000 0.2500
C 0.5000 0.0000 0.7500
C 0.5000 0.0000 0.2500
C 0.0000 0.7500 0.5000
C 0.7500 0.5000 0.0000
C 0.0000 0.2500 0.5000
C 0.2500 0.5000 0.0000
```

Computed properties:
The total energy comes out at -3.7256 eV per atom.

---

(17)
Computed, not measured: Mg2C3 after structural relaxation at the PBE level of DFT. Values from VASP.

Geometry as Quantum ESPRESSO input:
```
&SYSTEM
  ibrav = 0, nat = 10, ntyp = 2
/
ATOMIC_SPECIES
Mg 24.30 Mg.upf
C 12.01 C.upf
CELL_PARAMETERS angstrom
3.7406 0.0000 0.0000
0.0000 5.2961 0.0000
0.0000 0.0000 6.4496
ATOMIC_POSITIONS crystal
Mg 0.5000 0.8924 0.2083
Mg 0.0000 0.6076 0.7083
Mg 0.5000 0.1076 0.7917
Mg 0.0000 0.3924 0.2917
C 0.0000 0.0000 0.5000
C 0.0000 0.2063 0.6180
C 0.0000 0.7937 0.3820
C 0.5000 0.2937 0.1180
C 0.5000 0.7063 0.8820
C 0.5000 0.5000 0.0000
```

Computed properties:
The total energy comes out at -6.0034 eV per atom.

---

(18)
Computed, not measured: MgC after structural relaxation at the PBE level of DFT. Values from VASP.

Geometry as Quantum ESPRESSO input:
```
&SYSTEM
  ibrav = 0, nat = 6, ntyp = 2
/
ATOMIC_SPECIES
Mg 24.30 Mg.upf
C 12.01 C.upf
CELL_PARAMETERS angstrom
1.7554 5.2035 -0.0029
-1.7554 5.2035 -0.0029
0.0000 3.0346 4.8200
ATOMIC_POSITIONS crystal
Mg 0.0172 0.0172 0.0540
Mg 0.1524 0.1524 0.4236
Mg 0.7834 0.7834 0.8969
C 0.5534 0.5534 0.2938
C 0.2571 0.2571 0.6781
C 0.4032 0.4032 0.4869
```

Computed properties:
The total energy comes out at -5.1092 eV per atom.

---

(19)
Computed, not measured: MgC5 after structural relaxation at the PBE level of DFT. Values from VASP.

Geometry as Quantum ESPRESSO input:
```
&SYSTEM
  ibrav = 0, nat = 6, ntyp = 2
/
ATOMIC_SPECIES
C 12.01 C.upf
Mg 24.30 Mg.upf
CELL_PARAMETERS angstrom
2.6394 -4.3242 0.0000
2.6394 4.3242 0.0000
0.0000 0.0000 2.5075
ATOMIC_POSITIONS crystal
C 0.5000 0.5000 0.5000
C 0.3377 0.6623 0.5000
C 0.7475 0.2525 0.0000
C 0.2525 0.7475 0.0000
C 0.6623 0.3377 0.5000
Mg 0.0000 0.0000 0.0000
```

Computed properties:
The total energy comes out at -6.9531 eV per atom.

---

(20)
Computed, not measured: Mg5C after structural relaxation at the PBE level of DFT. Values from VASP.

Geometry as Quantum ESPRESSO input:
```
&SYSTEM
  ibrav = 0, nat = 6, ntyp = 2
/
ATOMIC_SPECIES
Mg 24.30 Mg.upf
C 12.01 C.upf
CELL_PARAMETERS angstrom
1.4944 -10.9712 0.0000
1.4944 10.9712 0.0000
0.0000 0.0000 3.6592
ATOMIC_POSITIONS crystal
Mg 0.0000 0.0000 0.5000
Mg 0.0916 0.9084 0.0000
Mg 0.9084 0.0916 0.0000
Mg 0.3120 0.6880 0.5000
Mg 0.6880 0.3120 0.5000
C 0.5000 0.5000 0.0000
```

Computed properties:
The total energy comes out at -2.4408 eV per atom.